No. 1
The following is a DFT calculation (SCAN) of a PBEsol-optimized structure of RbSr2ZrMo.

Output
Its formation energy is 0.93 eV per atom. The energy is -25.249 eV/atom.

POSCAR file:
```
RbSr2ZrMo
1.0
-1.0792 1.2820 -4.4423
-5.8401 -2.7848 0.6150
-2.4395 5.6040 2.2099
Zr Rb Mo Sr
1 1 1 2
direct
0.0000 0.0000 0.0000
0.5000 0.5000 0.5000
0.5000 0.0000 0.0000
0.0000 0.5000 0.0000
0.0000 0.0000 0.5000
```



No. 2
The following is a DFT calculation (SCAN) of a PBEsol-optimized structure of ZnHg2Ir.

Output
Its formation energy is 0.38 eV per atom. The energy is -54.856 eV/atom.

POSCAR file:
```
ZnHg2Ir
1.0
3.1162 0.0000 0.0000
0.0000 4.7972 0.0412
0.0000 -1.5272 4.5478
Hg Zn Ir
2 1 1
direct
0.0000 0.0000 0.5000
0.0000 0.5000 0.0000
0.5000 0.5000 0.5000
0.5000 0.0000 0.0000
```



No. 3
The following is a DFT calculation (SCAN) of a PBEsol-optimized structure of K2CuPt.

Output
Its formation energy is 0.54 eV per atom. The energy is -24.976 eV/atom.

POSCAR file:
```
K2CuPt
1.0
-1.6914 -3.2204 -3.7583
-1.6777 -4.7994 1.2280
-5.0873 -1.1623 -0.3541
Cu Pt K
1 1 2
direct
0.0000 0.0000 0.0000
0.5000 0.5000 0.5000
0.7500 0.7500 0.7500
0.2500 0.2500 0.2500
```